Crystalline ZnPb3 at its relaxed geometry. Source: Alexandria, functional PBEsol.

Unit cell a=5.315 b=5.315 c=5.315 alpha=60.00 beta=60.00 gamma=60.00
Atoms (fractional coordinates):
Pb  0.750  0.750  0.750
Pb  0.250  0.250  0.250
Pb  0.500  0.500  0.500
Zn  0.000  0.000  0.000

Results
ρ: 10.7 g cm⁻³



Crystalline ZnPb3 at its relaxed geometry. Source: Alexandria, functional PBEsol.

Unit cell a=3.500 b=3.500 c=8.493 alpha=90.00 beta=90.00 gamma=90.00
Atoms (fractional coordinates):
Zn  0.500  0.500  0.500
Pb  0.000  0.000  0.714
Pb  0.500  0.500  0.000
Pb  0.000  0.000  0.286

Results
ρ: 11.0 g cm⁻³



Crystalline Zn3Pb at its relaxed geometry. Source: Alexandria, functional PBEsol.

Unit cell a=4.200 b=5.269 c=6.758 alpha=90.00 beta=90.00 gamma=90.00
Atoms (fractional coordinates):
Zn  0.000  0.500  0.782
Zn  0.500  0.000  0.218
Zn  0.500  0.754  0.875
Pb  0.500  0.500  0.419
Pb  0.000  0.000  0.581
Zn  0.000  0.746  0.125
Zn  0.500  0.246  0.875
Zn  0.000  0.254  0.125

Results
ρ: 9.0 g cm⁻³



Crystalline ZnPb5 at its relaxed geometry. Source: Alexandria, functional PBEsol.

Unit cell a=5.182 b=4.467 c=7.601 alpha=90.00 beta=109.93 gamma=90.00
Atoms (fractional coordinates):
Zn  0.500  0.000  0.000
Pb  0.649  0.500  0.298
Pb  0.830  0.000  0.660
Pb  0.351  0.500  0.702
Pb  0.000  0.500  0.000
Pb  0.170  0.000  0.340

Results
ρ: 11.1 g cm⁻³



| no. | VASP energy (eV per atom) |
| --- | --- |
| 1 | -3.2367 |
| 2 | -3.2940 |
| 3 | -2.0940 |
| 4 | -3.5019 |